Computed, not measured: crystalline Lu4CdSbC2 at its relaxed geometry at the GGA-PBE level of DFT.

Calculated values
Volume ... 166 Å³ per cell
DFT total energy ... -5.72 eV/atom

abc: 3.5280 3.5280 15.4135
angles: 90.00 90.00 120.00
With the nearest neighbours (Å) after each atom.
Element x y z (fractional)
1 Lu 0.0000 0.0000 0.1601  3 C 2.40
2 Lu 0.0000 0.0000 0.8399  3 C 2.40
3 Lu 0.6667 0.3333 0.3279  3 C 2.43
4 Lu 0.6667 0.3333 0.6721  3 C 2.43
5 Cd 0.0000 0.0000 0.5000  6 Lu 3.34, 6 Cd 3.53
6 Sb 0.6667 0.3333 0.0000  6 Lu 3.20, 6 Sb 3.53
7 C 0.3333 0.6667 0.2419  6 Lu 2.40-2.43
8 C 0.3333 0.6667 0.7581  6 Lu 2.40-2.43

***

Computed, not measured: crystalline CsZrIr at its relaxed geometry at the GGA-PBE level of DFT.

Calculated values
Volume ... 74 Å³ per cell
Energy above the most stable polymorph in this dataset ... 844 meV per atom

abc: 4.7181 4.7181 4.7181
angles: 60.00 60.00 60.00
With the nearest neighbours (Å) after each atom.
Element x y z (fractional)
1 Cs 0.0000 0.0000 0.0000  4 Zr 2.89, 4 Ir 2.89
2 Zr 0.2500 0.2500 0.2500  4 Cs 2.89
3 Ir 0.7500 0.7500 0.7500  4 Cs 2.89

***

Computed, not measured: crystalline NbCdNiB at its relaxed geometry at the GGA-PBE level of DFT.

Calculated values
Volume ... 56 Å³ per cell
Energy above the most stable polymorph in this dataset ... 259 meV per atom

abc: 4.2985 4.2985 4.2985
angles: 60.00 60.00 60.00
With the nearest neighbours (Å) after each atom.
Element x y z (fractional)
1 Nb 0.0000 0.0000 0.0000  4 Cd 2.63, 4 B 2.63
2 Cd 0.7500 0.7500 0.7500  4 Nb 2.63, 4 Ni 2.63
3 Ni 0.5000 0.5000 0.5000  4 Cd 2.63, 4 B 2.63
4 B 0.2500 0.2500 0.2500  4 Ni 2.63, 4 Nb 2.63